VASP calculation (GGA-PBE) on a geometry-optimized Tl2RhO structure.

Lattice parameters (Å, degrees): 6.6530 6.6530 5.8796 55.54 55.54 90.00
Fractional coordinates of all 8 atoms:
Tl: 0.5805 0.1250 0.2500
Tl: 0.1695 0.6250 0.2500
Tl: 0.3750 0.4195 0.7500
Tl: 0.8750 0.8305 0.7500
Rh: 0.0000 0.0000 0.0000
Rh: 0.7500 0.2500 0.5000
O: 0.5000 0.5000 0.0000
O: 0.2500 0.7500 0.5000

## Properties
**Energy above the lowest structure with this stoichiometry**: 0 meV/atom
**Formation energy (no corrections)**: -0.041 eV per atom
**Symmetry**: I-42d (122)

***

VASP calculation (GGA-PBE) on a geometry-optimized Tl2RhO4 structure.

Lattice parameters (Å, degrees): 3.2652 5.9896 10.0351 90.00 90.00 90.00
Fractional coordinates of all 14 atoms:
Tl: 0.5000 0.9341 0.8274
Tl: 0.5000 0.0659 0.1726
Tl: 0.5000 0.4341 0.6726
Tl: 0.5000 0.5659 0.3274
Rh: 0.0000 0.0000 0.5000
Rh: 0.0000 0.5000 0.0000
O: 0.0000 0.6249 0.8150
O: 0.0000 0.3751 0.1850
O: 0.0000 0.1249 0.6850
O: 0.0000 0.8751 0.3150
O: 0.5000 0.7965 0.5409
O: 0.5000 0.2035 0.4591
O: 0.5000 0.7035 0.0409
O: 0.5000 0.2965 0.9591

## Properties
**Energy above the lowest structure with this stoichiometry**: 54 meV/atom
**Formation energy (no corrections)**: -0.646 eV per atom
**Symmetry**: Pbam (55)

***

VASP calculation (GGA-PBE) on a geometry-optimized TlRhO2 structure.

Lattice parameters (Å, degrees): 3.1461 6.5354 6.0635 94.73 104.62 89.96
Fractional coordinates of all 8 atoms:
Tl: 0.7947 0.4684 0.0028
Tl: 0.2728 0.9384 0.9690
Rh: 0.0335 0.7031 0.4859
Rh: 0.5335 0.2032 0.4858
O: 0.1448 0.2192 0.7144
O: 0.9223 0.1873 0.2573
O: 0.5300 0.8954 0.4787
O: 0.5370 0.5110 0.4930

## Properties
**Formation energy (no corrections)**: -0.616 eV per atom
**Symmetry**: P-1 (2)

***

VASP calculation (GGA-PBE) on a geometry-optimized TlRhO2 structure.

Lattice parameters (Å, degrees): 6.5666 3.2405 3.2405 119.97 104.57 75.43
Fractional coordinates of all 4 atoms:
Tl: 0.0000 0.0000 0.0000
Rh: 0.5000 0.5000 0.5000
O: 0.6510 0.7820 0.2180
O: 0.3490 0.2180 0.7820

## Properties
**Formation energy (no corrections)**: -0.604 eV per atom
**Symmetry**: C2/m (12)

***

VASP calculation (GGA-PBE) on a geometry-optimized TlRh3O6 structure.

Lattice parameters (Å, degrees): 3.1510 6.3986 6.3986 110.68 90.00 90.00
Fractional coordinates of all 10 atoms:
Tl: 0.0000 0.5000 0.5000
Rh: 0.5000 0.5000 0.0000
Rh: 0.0000 0.0000 0.0000
Rh: 0.5000 0.0000 0.5000
O: 0.0000 0.0683 0.3281
O: 0.0000 0.9317 0.6719
O: 0.0000 0.3281 0.0683
O: 0.0000 0.6719 0.9317
O: 0.5000 0.6747 0.3253
O: 0.5000 0.3253 0.6747

## Properties
**Formation energy (no corrections)**: -0.735 eV per atom
**Symmetry**: Cmmm (65)

***

VASP calculation (GGA-PBE) on a geometry-optimized Tl2RhO5 structure.

Lattice parameters (Å, degrees): 3.7842 7.3729 15.5568 90.00 90.00 90.00
Fractional coordinates of all 32 atoms:
Tl: 0.7500 0.4130 0.4130
Tl: 0.7500 0.3325 0.7589
Tl: 0.2500 0.1675 0.2589
Tl: 0.2500 0.0870 0.9130
Tl: 0.7500 0.9130 0.0870
Tl: 0.7500 0.8325 0.7411
Tl: 0.2500 0.6675 0.2411
Tl: 0.2500 0.5870 0.5870
Rh: 0.7500 0.3988 0.0684
Rh: 0.2500 0.1012 0.5684
Rh: 0.7500 0.8988 0.4316
Rh: 0.2500 0.6012 0.9316
O: 0.2500 0.4311 0.3226
O: 0.2500 0.4349 0.0425
O: 0.2500 0.3770 0.8513
O: 0.2500 0.3371 0.4992
O: 0.7500 0.2424 0.1686
O: 0.2500 0.2576 0.6686
O: 0.7500 0.1629 0.9992
O: 0.7500 0.1230 0.3513
O: 0.7500 0.0651 0.5425
O: 0.7500 0.0689 0.8226
O: 0.2500 0.9311 0.1774
O: 0.2500 0.9349 0.4575
O: 0.2500 0.8770 0.6487
O: 0.2500 0.8371 0.0008
O: 0.7500 0.7424 0.3314
O: 0.2500 0.7576 0.8314
O: 0.7500 0.6629 0.5008
O: 0.7500 0.6230 0.1487
O: 0.7500 0.5651 0.9575
O: 0.7500 0.5689 0.6774

## Properties
**Formation energy (no corrections)**: -0.651 eV per atom
**Symmetry**: Pnma (62)

***

VASP calculation (GGA-PBE) on a geometry-optimized TlRhO2 structure.

Lattice parameters (Å, degrees): 5.3520 5.3520 6.3971 65.27 65.27 90.00
Fractional coordinates of all 8 atoms:
Tl: 0.0000 0.0000 0.0000
Tl: 0.7500 0.2500 0.5000
Rh: 0.5000 0.5000 0.0000
Rh: 0.2500 0.7500 0.5000
O: 0.5029 0.1250 0.2500
O: 0.2471 0.6250 0.2500
O: 0.3750 0.4971 0.7500
O: 0.8750 0.7529 0.7500

## Properties
**Formation energy (no corrections)**: -0.353 eV per atom
**Symmetry**: I-42d (122)

***

VASP calculation (GGA-PBE) on a geometry-optimized TlRhO2 structure.

Lattice parameters (Å, degrees): 3.2237 5.3772 8.1766 91.56 90.00 90.00
Fractional coordinates of all 8 atoms:
Tl: 0.7569 0.3447 0.9672
Tl: 0.2568 0.8630 0.2645
Rh: 0.7760 0.3510 0.6082
Rh: 0.2760 0.8566 0.6235
O: 0.2757 0.5154 0.7374
O: 0.7759 0.0260 0.7409
O: 0.7757 0.6922 0.4944
O: 0.2759 0.1816 0.4909

## Properties
**Formation energy (no corrections)**: -0.639 eV per atom
**Symmetry**: P2_1 (4)

***

VASP calculation (GGA-PBE) on a geometry-optimized TlRhO2 structure.

Lattice parameters (Å, degrees): 11.2993 11.2993 3.8535 90.00 90.00 163.91
Fractional coordinates of all 8 atoms:
Tl: 0.3169 0.6831 0.2500
Tl: 0.6831 0.3169 0.7500
Rh: 0.0537 0.9463 0.2500
Rh: 0.9463 0.0537 0.7500
O: 0.1392 0.8608 0.2500
O: 0.8608 0.1392 0.7500
O: 0.9618 0.0382 0.2500
O: 0.0382 0.9618 0.7500

## Properties
**Formation energy (no corrections)**: -0.450 eV per atom
**Symmetry**: Cmcm (63)

***

VASP calculation (GGA-PBE) on a geometry-optimized Tl2Rh3O8 structure.

Lattice parameters (Å, degrees): 5.2833 6.2705 6.4090 119.29 106.24 90.00
Fractional coordinates of all 13 atoms:
Tl: 0.3431 0.2840 0.5680
Tl: 0.6569 0.7160 0.4320
Rh: 0.5000 0.0000 0.0000
Rh: 0.0000 0.2522 0.0000
Rh: 0.0000 0.7478 0.0000
O: 0.9494 0.6028 0.2056
O: 0.0506 0.3972 0.7944
O: 0.9058 0.0962 0.1925
O: 0.0942 0.9038 0.8075
O: 0.6141 0.6758 0.7855
O: 0.6141 0.1098 0.7855
O: 0.3859 0.8902 0.2145
O: 0.3859 0.3242 0.2145

## Properties
**Formation energy (no corrections)**: -0.728 eV per atom
**Symmetry**: C2/m (12)

***

VASP calculation (GGA-PBE) on a geometry-optimized Tl2RhO2 structure.

Lattice parameters (Å, degrees): 3.8208 3.8208 6.2338 72.15 72.15 90.00
Fractional coordinates of all 5 atoms:
Tl: 0.3614 0.3614 0.2771
Tl: 0.6386 0.6386 0.7229
Rh: 0.0000 0.0000 0.0000
O: 0.7500 0.2500 0.5000
O: 0.2500 0.7500 0.5000

## Properties
**Energy above the lowest structure with this stoichiometry**: 0 meV/atom
**Formation energy (no corrections)**: 0.073 eV per atom
**Symmetry**: I4/mmm (139)

***

VASP calculation (GGA-PBE) on a geometry-optimized Tl2RhO2 structure.

Lattice parameters (Å, degrees): 7.1341 7.1341 3.1541 90.00 90.00 90.00
Fractional coordinates of all 10 atoms:
Tl: 0.3457 0.8457 0.0000
Tl: 0.8457 0.6543 0.0000
Tl: 0.6543 0.1543 0.0000
Tl: 0.1543 0.3457 0.0000
Rh: 0.0000 0.0000 0.0000
Rh: 0.5000 0.5000 0.0000
O: 0.1408 0.6408 0.5000
O: 0.6408 0.8592 0.5000
O: 0.8592 0.3592 0.5000
O: 0.3592 0.1408 0.5000

## Properties
**Energy above the lowest structure with this stoichiometry**: 188 meV/atom
**Formation energy (no corrections)**: 0.261 eV per atom
**Symmetry**: P4/mbm (127)